VASP calculation (GGA-PBE) on crystalline YSi2Rh at its relaxed geometry. Values from VASP.

Summary:
space-group type = No. 10

Structure (Quantum ESPRESSO input):
```
&SYSTEM
  ibrav = 0, nat = 4, ntyp = 3
/
ATOMIC_SPECIES
Rh 102.91 Rh.upf
Si 28.09 Si.upf
Y 88.91 Y.upf
ATOMIC_POSITIONS angstrom
Rh 2.071 3.117 3.583
Si 0.000 3.074 0.039
Si 0.000 2.951 2.358
Y 2.071 1.039 1.194
CELL_PARAMETERS angstrom
4.143 0.000 0.000
0.000 3.946 0.008
0.000 0.210 4.769
```

***

VASP calculation (GGA-PBE) on crystalline YSi2Rh at its relaxed geometry. Values from VASP.

Summary:
space-group type = No. 122

Structure (Quantum ESPRESSO input):
```
&SYSTEM
  ibrav = 0, nat = 8, ntyp = 3
/
ATOMIC_SPECIES
Y 88.91 Y.upf
Si 28.09 Si.upf
Rh 102.91 Rh.upf
ATOMIC_POSITIONS angstrom
Y -1.859 -1.302 -2.269
Y -0.631 -5.702 -3.020
Si -3.436 -3.286 -0.636
Si -3.758 -4.176 -2.807
Si -1.555 -7.229 -0.590
Si -3.841 -7.602 -0.098
Rh 0.000 0.000 0.000
Rh -3.148 -5.573 -1.033
CELL_PARAMETERS angstrom
-4.375 -1.173 -0.282
0.658 -1.431 -4.257
-0.061 -8.671 0.486
```

***

VASP calculation (GGA-PBE) on crystalline YSi2Rh at its relaxed geometry. Values from VASP.

Summary:
space-group type = No. 8

Structure (Quantum ESPRESSO input):
```
&SYSTEM
  ibrav = 0, nat = 4, ntyp = 3
/
ATOMIC_SPECIES
Rh 102.91 Rh.upf
Si 28.09 Si.upf
Y 88.91 Y.upf
ATOMIC_POSITIONS angstrom
Rh 6.191 3.453 4.866
Si 2.073 1.156 4.546
Si 2.064 1.151 0.761
Y 4.123 2.299 2.681
CELL_PARAMETERS angstrom
4.076 -0.056 -0.016
2.095 3.497 -0.016
2.078 1.159 5.161
```

***

Calculated values (eV/atom) of ΔE_f (raw) for the records, taken in order: -0.69, -0.52, -0.79.
Calculated values (eV per atom) of DFT total energy for the records, taken in order: -6.859, -6.686, -6.952.